VASP calculation (PBE-GGA) on a geometry-optimized LiLa2Ta structure.

Geometry as CIF:
```
data_LiLa2Ta
_cell_length_a 5.190
_cell_length_b 5.190
_cell_length_c 5.190
_cell_angle_alpha 60.00
_cell_angle_beta 60.00
_cell_angle_gamma 60.00
_symmetry_space_group_name_H-M 'P 1'
_symmetry_Int_Tables_number 1
loop_
_symmetry_equiv_pos_as_xyz
'x,y,z'
loop_
_atom_site_label
_atom_site_type_symbol
_atom_site_fract_x
_atom_site_fract_y
_atom_site_fract_z
Ta1 Ta 0.750 0.750 0.750
Li1 Li 0.500 0.500 0.500
La1 La 0.250 0.250 0.250
La2 La 0.000 0.000 0.000
```

As for the density of states at the Fermi level: 6.7 states/eV/cell. The calculation puts the total energy at -5.294 eV/atom. Its symmetry is No. 216. The formation energy comes out at 0.6114 eV per atom.